No. 1
# ZrCoTc2 PBE-GGA optimized geometry
data_ZrCoTc2
_chemical_formula_sum 'Zr1 Co1 Tc2'
_space_group_name_H-M_alt 'P 1'
_space_group_IT_number 1
_space_group_name_Hall 'P 1'
_cell_length_a 5.212
_cell_length_b 5.212
_cell_length_c 5.212
_cell_angle_alpha 144.34
_cell_angle_beta 130.48
_cell_angle_gamma 62.50
loop_
_atom_site_label
_atom_site_type_symbol
_atom_site_fract_x
_atom_site_fract_y
_atom_site_fract_z
Tc1 Tc 0.997 0.997 0.000
Co1 Co 0.750 0.250 0.500
Zr1 Zr 0.250 0.750 0.500
Tc2 Tc 0.503 0.503 0.000
# Energy of formation   0.066 eV per atom
# Polymorph energy (0 for the lowest one)   91 meV per atom
# Space group   Immm, No. 71

***

No. 2
# ZrCo5Tc PBE-GGA optimized geometry
data_ZrCo5Tc
_chemical_formula_sum 'Zr4 Co20 Tc4'
_space_group_name_H-M_alt 'P 1'
_space_group_IT_number 1
_space_group_name_Hall 'P 1'
_cell_length_a 4.719
_cell_length_b 7.766
_cell_length_c 9.691
_cell_angle_alpha 90.00
_cell_angle_beta 90.00
_cell_angle_gamma 90.00
loop_
_atom_site_label
_atom_site_type_symbol
_atom_site_fract_x
_atom_site_fract_y
_atom_site_fract_z
Co1 Co 0.250 0.596 0.021
Co2 Co 0.250 0.184 0.244
Co3 Co 0.250 0.447 0.416
Co4 Co 0.250 0.947 0.084
Co5 Co 0.750 0.553 0.584
Tc1 Tc 0.750 0.638 0.351
Co6 Co 0.750 0.404 0.979
Co7 Co 0.750 0.816 0.756
Co8 Co 0.750 0.316 0.744
Zr1 Zr 0.250 0.253 0.941
Co9 Co 0.005 0.070 0.695
Tc2 Tc 0.250 0.362 0.649
Co10 Co 0.495 0.070 0.695
Co11 Co 0.505 0.430 0.195
Zr2 Zr 0.750 0.747 0.059
Co12 Co 0.250 0.096 0.479
Co13 Co 0.005 0.570 0.805
Co14 Co 0.750 0.904 0.521
Tc3 Tc 0.750 0.138 0.149
Zr3 Zr 0.750 0.247 0.441
Tc4 Tc 0.250 0.862 0.851
Co15 Co 0.495 0.570 0.805
Co16 Co 0.505 0.930 0.305
Co17 Co 0.250 0.684 0.256
Co18 Co 0.995 0.930 0.305
Zr4 Zr 0.250 0.753 0.559
Co19 Co 0.995 0.430 0.195
Co20 Co 0.750 0.053 0.916
# Energy of formation   -0.116 eV per atom
# Space group   Pnma, No. 62

***

No. 3
# Zr3CoTc2 PBE-GGA optimized geometry
data_Zr3CoTc2
_chemical_formula_sum 'Zr3 Co1 Tc2'
_space_group_name_H-M_alt 'P 1'
_space_group_IT_number 1
_space_group_name_Hall 'P 1'
_cell_length_a 3.276
_cell_length_b 3.276
_cell_length_c 9.715
_cell_angle_alpha 90.00
_cell_angle_beta 90.00
_cell_angle_gamma 90.00
loop_
_atom_site_label
_atom_site_type_symbol
_atom_site_fract_x
_atom_site_fract_y
_atom_site_fract_z
Zr1 Zr 0.000 0.000 0.664
Zr2 Zr 0.000 0.000 0.000
Zr3 Zr 0.000 0.000 0.336
Tc1 Tc 0.500 0.500 0.827
Co1 Co 0.500 0.500 0.500
Tc2 Tc 0.500 0.500 0.173
# Energy of formation   -0.365 eV per atom
# Space group   P4/mmm, No. 123

***

No. 4
# ZrCoTc2 PBE-GGA optimized geometry
data_ZrCoTc2
_chemical_formula_sum 'Zr1 Co1 Tc2'
_space_group_name_H-M_alt 'P 1'
_space_group_IT_number 1
_space_group_name_Hall 'P 1'
_cell_length_a 3.191
_cell_length_b 3.204
_cell_length_c 6.076
_cell_angle_alpha 90.00
_cell_angle_beta 90.00
_cell_angle_gamma 90.00
loop_
_atom_site_label
_atom_site_type_symbol
_atom_site_fract_x
_atom_site_fract_y
_atom_site_fract_z
Co1 Co 0.500 0.500 0.750
Tc1 Tc 0.000 0.000 0.956
Zr1 Zr 0.500 0.500 0.250
Tc2 Tc 0.000 0.000 0.544
# Energy of formation   0.086 eV per atom
# Polymorph energy (0 for the lowest one)   112 meV per atom
# Space group   Pmmm, No. 47

***

No. 5
# ZrCoTc2 PBE-GGA optimized geometry
data_ZrCoTc2
_chemical_formula_sum 'Zr1 Co1 Tc2'
_space_group_name_H-M_alt 'P 1'
_space_group_IT_number 1
_space_group_name_Hall 'P 1'
_cell_length_a 4.240
_cell_length_b 2.919
_cell_length_c 5.104
_cell_angle_alpha 78.43
_cell_angle_beta 90.00
_cell_angle_gamma 90.00
loop_
_atom_site_label
_atom_site_type_symbol
_atom_site_fract_x
_atom_site_fract_y
_atom_site_fract_z
Tc1 Tc 0.000 0.874 0.033
Co1 Co 0.500 0.920 0.730
Zr1 Zr 0.000 0.487 0.549
Tc2 Tc 0.500 0.219 0.188
# Energy of formation   0.025 eV per atom
# Polymorph energy (0 for the lowest one)   51 meV per atom
# Space group   Pm, No. 6

***

No. 6
# Zr2Co2Tc PBE-GGA optimized geometry
data_Zr2Co2Tc
_chemical_formula_sum 'Zr4 Co4 Tc2'
_space_group_name_H-M_alt 'P 1'
_space_group_IT_number 1
_space_group_name_Hall 'P 1'
_cell_length_a 6.521
_cell_length_b 6.521
_cell_length_c 3.764
_cell_angle_alpha 90.00
_cell_angle_beta 90.00
_cell_angle_gamma 90.00
loop_
_atom_site_label
_atom_site_type_symbol
_atom_site_fract_x
_atom_site_fract_y
_atom_site_fract_z
Tc1 Tc 0.000 0.000 0.000
Zr1 Zr 0.180 0.680 0.500
Co1 Co 0.376 0.876 0.000
Zr2 Zr 0.320 0.180 0.500
Zr3 Zr 0.680 0.820 0.500
Co2 Co 0.624 0.124 0.000
Co3 Co 0.124 0.376 0.000
Co4 Co 0.876 0.624 0.000
Tc2 Tc 0.500 0.500 0.000
Zr4 Zr 0.820 0.320 0.500
# Energy of formation   -0.176 eV per atom
# Polymorph energy (0 for the lowest one)   0 meV per atom
# Space group   P4/mbm, No. 127

***

The records above give, respectively, mass density values of 9.26; 9.05; 8.42; 9.25; 9.29; 8.26 g cm⁻³.
The records above give, respectively, size of the total moment values of 1.80; 11.68; 0.31; 1.11; 0.00; 0.00 μB per cell.
The records above give, respectively, total energy values of -0.3319; -0.2901; -0.3410; -0.3311; -0.3334; -0.3128 hartree per atom.